[1]
Entry from Alexandria via LeMat-Bulk: a relaxed K2LiGa3Ge4 crystal (PBE-GGA).

Results
Space-group type: P-4m2 (115)
VASP energy, eV/atom: -3.308
Crystal system: tetragonal

```
data_K2LiGa3Ge4
_chemical_formula_sum 'K2 Li1 Ga3 Ge4'
_cell_length_a 4.547
_cell_length_b 4.547
_cell_length_c 10.855
_cell_angle_alpha 90.00
_cell_angle_beta 90.00
_cell_angle_gamma 90.00
_symmetry_space_group_name_H-M 'P 1'
_symmetry_Int_Tables_number 1
loop_
_symmetry_equiv_pos_as_xyz
'x,y,z'
loop_
_atom_site_label
_atom_site_type_symbol
_atom_site_fract_x
_atom_site_fract_y
_atom_site_fract_z
K1 K 0.000 0.500 0.248
K2 K 0.500 0.000 0.752
Li1 Li 0.500 0.500 0.000
Ga1 Ga 0.000 0.000 0.000
Ga2 Ga 0.000 0.500 0.633
Ga3 Ga 0.500 0.000 0.367
Ge1 Ge 0.000 0.000 0.500
Ge2 Ge 0.000 0.500 0.869
Ge3 Ge 0.500 0.000 0.131
Ge4 Ge 0.500 0.500 0.500
```


[2]
Entry from Alexandria via LeMat-Bulk: a relaxed KMgGaGe2 crystal (PBE-GGA).

Results
Space-group type: P4/mmm (123)
Relative energy among the computed polymorphs, eV per atom: 0.635
VASP energy, eV/atom: -2.518
Crystal system: tetragonal

```
data_KMgGaGe2
_chemical_formula_sum 'K1 Mg1 Ga1 Ge2'
_cell_length_a 5.067
_cell_length_b 5.067
_cell_length_c 5.830
_cell_angle_alpha 90.00
_cell_angle_beta 90.00
_cell_angle_gamma 90.00
_symmetry_space_group_name_H-M 'P 1'
_symmetry_Int_Tables_number 1
loop_
_symmetry_equiv_pos_as_xyz
'x,y,z'
loop_
_atom_site_label
_atom_site_type_symbol
_atom_site_fract_x
_atom_site_fract_y
_atom_site_fract_z
K1 K 0.000 0.000 0.000
Mg1 Mg 0.500 0.500 0.000
Ga1 Ga 0.000 0.000 0.500
Ge1 Ge 0.000 0.500 0.500
Ge2 Ge 0.500 0.000 0.500
```


[3]
Entry from Alexandria via LeMat-Bulk: a relaxed KMgGaGe2 crystal (PBE-GGA).

Results
Space-group type: I-4m2 (119)
Relative energy among the computed polymorphs, eV per atom: 0.000
VASP energy, eV/atom: -3.153
Crystal system: tetragonal

```
data_KMgGaGe2
_chemical_formula_sum 'K1 Mg1 Ga1 Ge2'
_cell_length_a 6.406
_cell_length_b 6.406
_cell_length_c 6.406
_cell_angle_alpha 137.67
_cell_angle_beta 137.67
_cell_angle_gamma 61.41
_symmetry_space_group_name_H-M 'P 1'
_symmetry_Int_Tables_number 1
loop_
_symmetry_equiv_pos_as_xyz
'x,y,z'
loop_
_atom_site_label
_atom_site_type_symbol
_atom_site_fract_x
_atom_site_fract_y
_atom_site_fract_z
K1 K 0.000 0.000 0.000
Mg1 Mg 0.750 0.250 0.500
Ga1 Ga 0.250 0.750 0.500
Ge1 Ge 0.384 0.384 0.000
Ge2 Ge 0.616 0.616 0.000
```


[4]
Entry from Alexandria via LeMat-Bulk: a relaxed KMnGa2Ge crystal (PBE-GGA).

Results
Space-group type: P4/mmm (123)
VASP energy, eV/atom: -4.318
Crystal system: tetragonal

```
data_KMnGa2Ge
_chemical_formula_sum 'K1 Mn1 Ga2 Ge1'
_cell_length_a 4.760
_cell_length_b 4.760
_cell_length_c 4.602
_cell_angle_alpha 90.00
_cell_angle_beta 90.00
_cell_angle_gamma 90.00
_symmetry_space_group_name_H-M 'P 1'
_symmetry_Int_Tables_number 1
loop_
_symmetry_equiv_pos_as_xyz
'x,y,z'
loop_
_atom_site_label
_atom_site_type_symbol
_atom_site_fract_x
_atom_site_fract_y
_atom_site_fract_z
K1 K 0.000 0.000 0.000
Mn1 Mn 0.500 0.500 0.500
Ga1 Ga 0.000 0.500 0.500
Ga2 Ga 0.500 0.000 0.500
Ge1 Ge 0.500 0.500 0.000
```


Q: Among the records above, which one has the highest VASP energy?
A: number 2